# CaZnFe2Br | Alexandria | GGA-PBE | relaxed
data_CaZnFe2Br
_symmetry_space_group_name_H-M 'P 4/m m m'
_symmetry_Int_Tables_number 123
_symmetry_space_group_name_Hall '-P 4 2'
_cell_length_a 4.597
_cell_length_b 4.597
_cell_length_c 5.742
_cell_angle_alpha 90.00
_cell_angle_beta 90.00
_cell_angle_gamma 90.00
loop_
_atom_site_label
_atom_site_fract_x
_atom_site_fract_y
_atom_site_fract_z
Ca1 0.000 0.000 0.000
Zn1 0.500 0.500 0.500
Fe1 0.000 0.500 0.500
Br1 0.500 0.500 0.000
# Spin magnetization in μB/cell: 5.39
# Mass density in Mg/m³: 4.07
# Formation energy from raw total energies in kJ per mole of atoms: 54.2

---

# La4Nd3Er2 | Alexandria | GGA-PBE | relaxed
data_La4Nd3Er2
_symmetry_space_group_name_H-M 'C 1 2/m 1'
_symmetry_Int_Tables_number 12
_cell_length_a 15.593
_cell_length_b 5.220
_cell_length_c 8.164
_cell_angle_alpha 90.00
_cell_angle_beta 108.39
_cell_angle_gamma 90.00
loop_
_symmetry_equiv_pos_as_xyz
'x,y,z'
'-x,-y,-z'
'-x,y,-z'
'x,-y,z'
'x+1/2,y+1/2,z'
'-x+1/2,-y+1/2,-z'
'-x+1/2,y+1/2,-z'
'x+1/2,-y+1/2,z'
loop_
_atom_site_label
_atom_site_fract_x
_atom_site_fract_y
_atom_site_fract_z
La1 0.055 0.000 0.329
La2 0.223 0.500 0.330
Nd1 0.000 0.500 0.000
Nd2 0.112 0.500 0.670
Er1 0.168 0.000 0.999
# Spin magnetization in μB/cell: 0.00
# Mass density in Mg/m³: 6.97
# E_form in eV per atom: 0.023
# E above lowest polymorph in kJ/mol of formula units: 0